Record 1
Entry from Alexandria: crystalline LiHfTe2I at its relaxed geometry (PBE).

a b c (Å): 5.6019 5.6019 5.8159
angles (deg): 90.00 90.00 90.00
Atoms (fractional coordinates):
Li 0.0000 0.0000 0.0000
Hf 0.5000 0.5000 0.5000
Te 0.0000 0.5000 0.5000
Te 0.5000 0.0000 0.5000
I 0.5000 0.5000 0.0000

Values from the calculation:
- energy relative to the elements, uncorrected (eV/f.u.) = -2.3
- total magnetization (μB/atom) = 0.0000
- crystal system = tetragonal
- symmetry = No. 123
- DFT total energy (eV/f.u.) = -22.0



Record 2
Entry from Alexandria: crystalline KTlS2 at its relaxed geometry (PBE).

a b c (Å): 7.7141 4.1498 15.3250
angles (deg): 90.00 90.00 90.00
Atoms (fractional coordinates):
K 0.0687 0.2500 0.1570
K 0.4313 0.7500 0.6570
K 0.5687 0.2500 0.3430
K 0.9313 0.7500 0.8430
Tl 0.0440 0.7500 0.3948
Tl 0.4560 0.2500 0.8948
Tl 0.5440 0.7500 0.1052
Tl 0.9560 0.2500 0.6052
S 0.1505 0.2500 0.7286
S 0.2024 0.2500 0.4633
S 0.2976 0.7500 0.9633
S 0.3495 0.7500 0.2286
S 0.6505 0.2500 0.7714
S 0.7024 0.2500 0.0367
S 0.7976 0.7500 0.5367
S 0.8495 0.7500 0.2714

Values from the calculation:
- energy relative to the elements, uncorrected (eV/f.u.) = -2.3
- total magnetization (μB/atom) = 0.0000
- crystal system = orthorhombic
- symmetry = No. 62
- DFT total energy (eV/f.u.) = -14.0



Record 3
Entry from Alexandria: crystalline K3Ac2IrO6 at its relaxed geometry (PBE).

a b c (Å): 6.2107 6.2107 6.6611
angles (deg): 98.65 98.65 119.92
Atoms (fractional coordinates):
K 0.0000 0.0000 0.0000
K 0.3468 0.6532 0.0000
K 0.6532 0.3468 0.0000
Ac 0.1680 0.8320 0.5000
Ac 0.8320 0.1680 0.5000
Ir 0.5000 0.5000 0.5000
O 0.1402 0.4349 0.3043
O 0.2643 0.2643 0.6916
O 0.4349 0.1402 0.3043
O 0.5651 0.8598 0.6957
O 0.7357 0.7357 0.3084
O 0.8598 0.5651 0.6957

Values from the calculation:
- energy relative to the elements, uncorrected (eV/f.u.) = -22.8
- total magnetization (μB/atom) = 0.0000
- crystal system = monoclinic
- symmetry = No. 12
- DFT total energy (eV/f.u.) = -72.9



Record 4
Entry from Alexandria: crystalline Nd2ScSb3Pd4 at its relaxed geometry (PBE).

a b c (Å): 4.4137 4.4137 11.5459
angles (deg): 90.00 90.00 90.00
Atoms (fractional coordinates):
Nd 0.0000 0.5000 0.2235
Nd 0.5000 0.0000 0.7765
Sc 0.0000 0.0000 0.5000
Sb 0.0000 0.5000 0.8647
Sb 0.5000 0.0000 0.1353
Sb 0.5000 0.5000 0.5000
Pd 0.0000 0.0000 0.0000
Pd 0.0000 0.5000 0.6387
Pd 0.5000 0.0000 0.3613
Pd 0.5000 0.5000 0.0000

Values from the calculation:
- energy relative to the elements, uncorrected (eV/f.u.) = -9.1
- total magnetization (μB/atom) = 0.0000
- crystal system = tetragonal
- symmetry = No. 115
- DFT total energy (eV/f.u.) = -58.1



Record 5
Entry from Alexandria: crystalline YNb2Zn2 at its relaxed geometry (PBE).

a b c (Å): 7.6780 7.6780 3.2110
angles (deg): 90.00 90.00 90.00
Atoms (fractional coordinates):
Y 0.0000 0.0000 0.0000
Y 0.5000 0.5000 0.0000
Nb 0.1742 0.3258 0.5000
Nb 0.3258 0.8258 0.5000
Nb 0.6742 0.1742 0.5000
Nb 0.8258 0.6742 0.5000
Zn 0.1211 0.6211 0.0000
Zn 0.3789 0.1211 0.0000
Zn 0.6211 0.8789 0.0000
Zn 0.8789 0.3789 0.0000

Values from the calculation:
- total magnetization (μB/atom) = 0.0000
- crystal system = tetragonal
- symmetry = No. 127
- energy relative to the elements (eV/atom) = 0.12
- DFT total energy (eV/f.u.) = -28.5



Record 6
Entry from Alexandria: crystalline RbPm3Cl10 at its relaxed geometry (PBE).

a b c (Å): 10.2294 10.2294 10.2294
angles (deg): 60.00 60.00 60.00
Atoms (fractional coordinates):
Rb 0.2500 0.2500 0.2500
Rb 0.7500 0.7500 0.7500
Pm 0.2399 0.2399 0.7601
Pm 0.2399 0.7601 0.2399
Pm 0.2399 0.7601 0.7601
Pm 0.7601 0.2399 0.2399
Pm 0.7601 0.2399 0.7601
Pm 0.7601 0.7601 0.2399
Cl 0.1146 0.1146 0.1146
Cl 0.1146 0.1146 0.6560
Cl 0.1146 0.6560 0.1146
Cl 0.1643 0.5000 0.5000
Cl 0.1643 0.5000 0.8357
Cl 0.1643 0.8357 0.5000
Cl 0.3440 0.8854 0.8854
Cl 0.5000 0.1643 0.5000
Cl 0.5000 0.1643 0.8357
Cl 0.5000 0.5000 0.1643
Cl 0.5000 0.5000 0.8357
Cl 0.5000 0.8357 0.1643
Cl 0.5000 0.8357 0.5000
Cl 0.6560 0.1146 0.1146
Cl 0.8357 0.1643 0.5000
Cl 0.8357 0.5000 0.1643
Cl 0.8357 0.5000 0.5000
Cl 0.8854 0.3440 0.8854
Cl 0.8854 0.8854 0.3440
Cl 0.8854 0.8854 0.8854

Values from the calculation:
- energy relative to the elements, uncorrected (eV/f.u.) = -31.2
- total magnetization (μB/atom) = 0.0000
- crystal system = cubic
- symmetry = No. 225
- DFT total energy (eV/f.u.) = -64.8



Record 7
Entry from Alexandria: crystalline CsBiSBr2 at its relaxed geometry (PBE).

a b c (Å): 5.9428 5.9428 5.3261
angles (deg): 90.00 90.00 90.00
Atoms (fractional coordinates):
Cs 0.0000 0.0000 0.0000
Bi 0.5000 0.5000 0.5000
S 0.5000 0.5000 0.0000
Br 0.0000 0.5000 0.5000
Br 0.5000 0.0000 0.5000

Values from the calculation:
- energy relative to the elements, uncorrected (eV/f.u.) = -4.5
- total magnetization (μB/atom) = 0.0000
- crystal system = tetragonal
- symmetry = No. 123
- DFT total energy (eV/f.u.) = -16.7



Record 8
Entry from Alexandria: crystalline CaPd3F at its relaxed geometry (PBE).

a b c (Å): 4.5025 4.5025 4.5025
angles (deg): 90.00 90.00 90.00
Atoms (fractional coordinates):
Ca 0.0000 0.0000 0.0000
Pd 0.0000 0.5000 0.5000
Pd 0.5000 0.0000 0.5000
Pd 0.5000 0.5000 0.0000
F 0.5000 0.5000 0.5000

Values from the calculation:
- energy relative to the elements, uncorrected (eV/f.u.) = -1.7
- total magnetization (μB/atom) = 0.0000
- crystal system = cubic
- symmetry = No. 221
- DFT total energy (eV/f.u.) = -21.2



What is the total magnetization in the sixth record? 0.0000 μB/atom



Which value of total magnetization does entry 8 give? 0.0000 μB/atom